The following is a GGA-PBE calculation of a relaxed structure of RbTiMnSe4, from Alexandria.

Lattice parameters (Å, degrees): 6.515 7.072 8.586 90.00 94.47 90.00
Space group P2_1/m (No. 11)
Unique sites:
Rb 0.211 0.250 0.054 (multiplicity 2)
Ti 0.161 0.750 0.450 (multiplicity 2)
Mn 0.360 0.250 0.640 (multiplicity 2)
Se 0.102 0.005 0.677 (multiplicity 4)
Se 0.327 0.750 0.192 (multiplicity 2)
Se 0.496 0.250 0.397 (multiplicity 2)

Values from the calculation:
**E_form (uncorrected)**: -18.90 kcal/mol of atoms
**Density of states at the Fermi level**: 0.5191 states/eV/atom
**M_tot**: 7.996 μB per cell